A relaxed LiPm2Pd crystal. Source: the Alexandria database, functional GGA-PBE.

Results
The density comes out at 5.55 g/cm3. As for the crystal system: trigonal. The density of states at the Fermi level comes out at 4.2 states/eV/f.u. Its symmetry is R3m. The value obtained for the total energy is -4.359 eV/atom. For the formation energy, the calculation gives -0.207 eV/atom.

a = 4.2039 Å, b = 4.2039 Å, c = 8.2441 Å
α = 75.23°, β = 75.23°, γ = 60.00°
With the nearest neighbours (Å) after each atom.
Positions (direct):
Li: 0.5021 0.5021 0.4936  6 Pm 3.36-3.45
Pm: 0.0652 0.0652 0.8045  3 Pd 2.89
Pm: 0.2674 0.2674 0.1978  3 Pd 2.87
Pd: 0.6653 0.6653 0.0041  6 Pm 2.87-2.89

***

A relaxed LiPm2Pd5 crystal. Source: the Alexandria database, functional GGA-PBE.

Results
The density comes out at 9.38 g/cm3. As for the crystal system: tetragonal. The density of states at the Fermi level comes out at 1.1 states/eV/f.u. Its symmetry is I4mm. The value obtained for the total energy is -5.416 eV/atom. For the formation energy, the calculation gives -0.744 eV/atom.

a = 5.8718 Å, b = 5.8718 Å, c = 5.8718 Å
α = 93.07°, β = 118.24°, γ = 118.24°
With the nearest neighbours (Å) after each atom.
Positions (direct):
Li: 0.0000 0.7814 0.7814  8 Pd 2.92-2.96, 4 Pm 3.01
Pm: 0.5000 0.2772 0.7772  10 Pd 2.93-3.01, 2 Li 3.01
Pm: 0.5000 0.7772 0.2772  10 Pd 2.93-3.01, 2 Li 3.01
Pd: 0.4990 0.7769 0.7769  2 Li 2.92-2.96, 4 Pm 2.93-2.94, 6 Pd 2.94-3.02
Pd: 0.0000 0.7769 0.2779  2 Li 2.92-2.96, 4 Pm 2.93-2.94, 6 Pd 2.94-3.02
Pd: 0.0000 0.2779 0.7769  2 Li 2.92-2.96, 4 Pm 2.93-2.94, 6 Pd 2.94-3.02
Pd: 0.5010 0.2779 0.2779  2 Li 2.92-2.96, 4 Pm 2.93-2.94, 6 Pd 2.94-3.02
Pd: 0.0000 0.2768 0.2768  8 Pd 2.94, 4 Pm 3.01

***

A relaxed LiPm4Pd5 crystal. Source: the Alexandria database, functional GGA-PBE.

Results
The density comes out at 8.62 g/cm3. As for the crystal system: tetragonal. The density of states at the Fermi level comes out at 4.2 states/eV/f.u. Its symmetry is P4/mmm. The value obtained for the total energy is -5.399 eV/atom. For the formation energy, the calculation gives -0.711 eV/atom.

a = 3.5396 Å, b = 3.5396 Å, c = 17.1991 Å
α = 90.00°, β = 90.00°, γ = 90.00°
With the nearest neighbours (Å) after each atom.
Positions (direct):
Li: 0.0000 0.0000 0.0000  8 Pd 2.87, 2 Pm 3.07
Pm: 0.0000 0.0000 0.1784  8 Pd 3.01-3.11, 1 Li 3.07
Pm: 0.0000 0.0000 0.3929  8 Pd 3.11
Pm: 0.0000 0.0000 0.6071  8 Pd 3.11
Pm: 0.0000 0.0000 0.8216  8 Pd 3.01-3.11, 1 Li 3.07
Pd: 0.5000 0.5000 0.0814  1 Pd 2.80, 4 Li 2.87, 4 Pm 3.01
Pd: 0.5000 0.5000 0.2857  8 Pm 3.11
Pd: 0.5000 0.5000 0.5000  8 Pm 3.11
Pd: 0.5000 0.5000 0.7143  8 Pm 3.11
Pd: 0.5000 0.5000 0.9186  1 Pd 2.80, 4 Li 2.87, 4 Pm 3.01

***

A relaxed Li5PmPd2 crystal. Source: the Alexandria database, functional GGA-PBE.

Results
The density comes out at 4.26 g/cm3. As for the crystal system: orthorhombic. The density of states at the Fermi level comes out at 3.5 states/eV/f.u. Its symmetry is Immm. The value obtained for the total energy is -3.418 eV/atom. For the formation energy, the calculation gives -0.330 eV/atom.

a = 3.9398 Å, b = 6.5684 Å, c = 6.5684 Å
α = 77.34°, β = 72.55°, γ = 72.55°
With the nearest neighbours (Å) after each atom.
Positions (direct):
Li: 0.0000 0.5000 0.5000  2 Pd 2.60
Li: 0.6657 0.5177 0.1510  3 Pd 2.66-2.68, 4 Li 2.76-2.93
Li: 0.3343 0.4823 0.8490  3 Pd 2.66-2.68, 4 Li 2.76-2.93
Li: 0.3343 0.8490 0.4823  3 Pd 2.66-2.68, 4 Li 2.76-2.93
Li: 0.6657 0.1510 0.5177  3 Pd 2.66-2.68, 4 Li 2.76-2.93
Pm: 0.0000 0.0000 0.0000  4 Pd 2.91
Pd: 0.7257 0.7743 0.7743  7 Li 2.60-2.68, 2 Pm 2.91
Pd: 0.2743 0.2257 0.2257  7 Li 2.60-2.68, 2 Pm 2.91

***

A relaxed Li2Pm2Pd15 crystal. Source: the Alexandria database, functional GGA-PBE.

Results
The density comes out at 9.57 g/cm3. As for the crystal system: trigonal. The density of states at the Fermi level comes out at 17.8 states/eV/f.u. Its symmetry is R-3m. The value obtained for the total energy is -5.216 eV/atom. For the formation energy, the calculation gives -0.415 eV/atom.

a = 6.9751 Å, b = 6.9751 Å, c = 6.9751 Å
α = 81.76°, β = 81.76°, γ = 81.76°
With the nearest neighbours (Å) after each atom.
Positions (direct):
Li: 0.0945 0.0945 0.0945  1 Li 2.59, 6 Pd 2.82-2.87
Li: 0.9055 0.9055 0.9055  1 Li 2.59, 6 Pd 2.82-2.87
Pm: 0.3446 0.3446 0.3446  12 Pd 3.14-3.44, 1 Li 3.43
Pm: 0.6554 0.6554 0.6554  12 Pd 3.14-3.44, 1 Li 3.43
Pd: 0.5000 0.0000 0.0000  8 Pd 2.65-2.70, 2 Li 2.82
Pd: 0.0000 0.0000 0.5000  8 Pd 2.65-2.70, 2 Li 2.82
Pd: 0.0000 0.5000 0.0000  8 Pd 2.65-2.70, 2 Li 2.82
Pd: 0.0000 0.6855 0.3145  8 Pd 2.70-2.87
Pd: 0.6855 0.3145 0.0000  8 Pd 2.70-2.87
Pd: 0.3145 0.0000 0.6855  8 Pd 2.70-2.87
Pd: 0.3145 0.6855 0.0000  8 Pd 2.70-2.87
Pd: 0.6855 0.0000 0.3145  8 Pd 2.70-2.87
Pd: 0.0000 0.3145 0.6855  8 Pd 2.70-2.87
Pd: 0.1609 0.6578 0.6578  8 Pd 2.63-2.79, 1 Li 2.87
Pd: 0.6578 0.6578 0.1609  8 Pd 2.63-2.79, 1 Li 2.87
Pd: 0.6578 0.1609 0.6578  8 Pd 2.63-2.79, 1 Li 2.87
Pd: 0.8391 0.3422 0.3422  8 Pd 2.63-2.79, 1 Li 2.87
Pd: 0.3422 0.3422 0.8391  8 Pd 2.63-2.79, 1 Li 2.87
Pd: 0.3422 0.8391 0.3422  8 Pd 2.63-2.79, 1 Li 2.87

***

A relaxed Li6Pm2Pd3 crystal. Source: the Alexandria database, functional GGA-PBE.

Results
The density comes out at 5.11 g/cm3. As for the crystal system: hexagonal. The density of states at the Fermi level comes out at 3.8 states/eV/f.u. Its symmetry is P-62m. The value obtained for the total energy is -3.674 eV/atom. For the formation energy, the calculation gives -0.350 eV/atom.

a = 3.9895 Å, b = 7.8229 Å, c = 7.8229 Å
α = 120.00°, β = 90.00°, γ = 90.00°
With the nearest neighbours (Å) after each atom.
Positions (direct):
Li: 0.5000 0.2539 0.0000  3 Pd 2.60-2.82, 4 Li 2.71
Li: 0.5000 0.7461 0.7461  3 Pd 2.60-2.82, 4 Li 2.71
Li: 0.0000 0.7912 0.0000  2 Pd 2.56, 6 Li 2.71-2.83
Li: 0.0000 0.0000 0.7912  2 Pd 2.56, 6 Li 2.71-2.83
Li: 0.5000 0.0000 0.2539  3 Pd 2.60-2.82, 4 Li 2.71
Li: 0.0000 0.2088 0.2088  2 Pd 2.56, 6 Li 2.71-2.83
Pm: 0.0000 0.6667 0.3333  6 Pd 3.09, 3 Li 3.21
Pm: 0.0000 0.3333 0.6667  6 Pd 3.09, 3 Li 3.21
Pd: 0.5000 0.5866 0.0000  5 Li 2.56-2.82
Pd: 0.5000 0.0000 0.5866  5 Li 2.56-2.82
Pd: 0.5000 0.4134 0.4134  5 Li 2.56-2.82

***

A relaxed Li2Pm5Pd4 crystal. Source: the Alexandria database, functional GGA-PBE.

Results
The density comes out at 7.08 g/cm3. As for the crystal system: monoclinic. The density of states at the Fermi level comes out at 8.4 states/eV/f.u. Its symmetry is C2/m. The value obtained for the total energy is -4.887 eV/atom. For the formation energy, the calculation gives -0.492 eV/atom.

a = 3.8754 Å, b = 7.6909 Å, c = 10.1190 Å
α = 112.23°, β = 101.04°, γ = 90.00°
With the nearest neighbours (Å) after each atom.
Positions (direct):
Li: 0.5648 0.5650 0.1296  1 Li 2.37
Li: 0.4352 0.4350 0.8704  1 Li 2.37
Pm: 0.1596 0.9120 0.3192  4 Pd 2.93-2.97, 2 Li 3.25
Pm: 0.8404 0.0880 0.6808  4 Pd 2.93-2.97, 2 Li 3.25
Pm: 0.1595 0.4070 0.3191  4 Pd 2.94-2.96, 2 Li 3.25
Pm: 0.5000 0.0000 0.0000  4 Pd 3.04
Pm: 0.8405 0.5930 0.6809  4 Pd 2.94-2.96, 2 Li 3.25
Pd: 0.7164 0.7163 0.4328  1 Li 2.78, 6 Pm 2.93-2.97
Pd: 0.9999 0.6962 0.9998  4 Li 2.73, 4 Pm 2.95-3.04, 1 Pd 3.02
Pd: 0.2836 0.2837 0.5672  1 Li 2.78, 6 Pm 2.93-2.97
Pd: 0.0001 0.3038 0.0002  4 Li 2.73, 4 Pm 2.95-3.04, 1 Pd 3.02

***

A relaxed LiPmPd crystal. Source: the Alexandria database, functional GGA-PBE.

Results
The density comes out at 6.45 g/cm3. As for the crystal system: orthorhombic. The density of states at the Fermi level comes out at 2.0 states/eV/f.u. Its symmetry is Cmcm. The value obtained for the total energy is -4.455 eV/atom. For the formation energy, the calculation gives -0.502 eV/atom.

a = 5.0864 Å, b = 5.0864 Å, c = 5.7685 Å
α = 90.00°, β = 90.00°, γ = 116.94°
With the nearest neighbours (Å) after each atom.
Positions (direct):
Pd: 0.9109 0.2871 0.7500  5 Pm 2.90-3.01, 2 Li 3.06
Pd: 0.2871 0.9109 0.2500  5 Pm 2.90-3.01, 2 Li 3.06
Pm: 0.9399 0.2581 0.2500  5 Pd 2.90-3.01
Pm: 0.2581 0.9399 0.7500  5 Pd 2.90-3.01
Li: 0.5990 0.5990 0.0000  2 Li 2.88, 2 Pd 3.06
Li: 0.5990 0.5990 0.5000  2 Li 2.88, 2 Pd 3.06